1.
## Tb3Nd13 (PBE)

Data for a relaxed Tb3Nd13 crystal.

The space group is Amm2 (No. 38) and the conventional cell measures 7.386, 11.837 and 12.784 Å, with angles of 90.00, 90.00 and 90.00 degrees. The inequivalent atoms are Tb at (0.000, 0.000, 0.000), Tb at (0.249, 0.000, 0.753), Nd at (0.000, 0.000, 0.503), Nd at (0.000, 0.249, 0.668), Nd at (0.249, 0.248, 0.918), Nd at (0.250, 0.000, 0.251), Nd at (0.500, 0.000, 0.000), Nd at (0.500, 0.000, 0.502) and Nd at (0.500, 0.248, 0.669).

For the energy relative to the elements, the calculation gives 0.031 eV/atom. Its mass density is 6.989 g/cm3. For the volume, the calculation gives 1117.64 Å³/cell. The value obtained for the energy above the most stable polymorph in this dataset is 17.8 meV per atom.

---

2.
## TbNd (PBE)

Data for a relaxed TbNd crystal.

The space group is P-6m2 (No. 187) and the conventional cell measures 3.6687, 3.6687 and 5.8178 Å, with angles of 90.00, 90.00 and 120.00 degrees. The inequivalent atoms are Tb at (0.0000, 0.0000, 0.0000) and Nd at (0.3333, 0.6667, 0.5000).

For the energy relative to the elements, the calculation gives 0.028 eV/atom. Its mass density is 7.423 g/cm3. For the volume, the calculation gives 67.81 Å³/cell. The value obtained for the energy above the most stable polymorph in this dataset is 14.1 meV per atom.

---

3.
## Tb2Nd (PBE)

Data for a relaxed Tb2Nd crystal.

The space group is R-3m (No. 166, hexagonal axes) and the conventional cell measures 3.6166, 3.6166 and 52.4877 Å, with angles of 90.00, 90.00 and 120.00 degrees. The inequivalent atoms are Tb at (0.0000, 0.0000, 0.1392), Tb at (0.0000, 0.0000, 0.3063) and Nd at (0.0000, 0.0000, 0.4165).

For the energy relative to the elements, the calculation gives 0.006 eV/atom. Its mass density is 7.743 g/cm3. For the volume, the calculation gives 594.56 Å³/cell. The value obtained for the energy above the most stable polymorph in this dataset is 0.0 meV per atom.

---

4.
## TbNd (PBE)

Data for a relaxed TbNd crystal.

The space group is Pm-3m (No. 221) and the conventional cell measures 4.079, 4.079 and 4.079 Å, with angles of 90.00, 90.00 and 90.00 degrees. The inequivalent atoms are Tb at (0.000, 0.000, 0.000) and Nd at (0.500, 0.500, 0.500).

For the energy relative to the elements, the calculation gives 0.125 eV/atom. Its mass density is 7.418 g/cm3. For the volume, the calculation gives 67.87 Å³/cell. The value obtained for the energy above the most stable polymorph in this dataset is 111.4 meV per atom.